Entry from Alexandria via LeMat-Bulk: a relaxed structure of Cs2HfHS (PBE).

```
5
Lattice="-3.111 3.036 5.548 -2.662 -3.978 0.684 4.994 -2.615 4.231" Properties=species:S:1:pos:R:3 pbc="T T T"
Cs 2.497 -1.307 2.116
H -0.390 -1.778 5.232
Hf -1.331 -1.989 0.342
S 0.000 0.000 0.000
Cs -1.556 1.518 2.774
```

Properties
The calculation puts the uncorrected energy at -18.6 eV for the cell shown. As for the magnetization: 1.000 μB/cell.